A plane-wave DFT calculation with GGA+U was carried out for VAuO2 after structural relaxation.

a = 5.0669 Å, b = 2.8999 Å, c = 9.1479 Å
α = 90.00°, β = 97.19°, γ = 90.00°
Last column: nearest neighbours and their distance in Å.
Space group C2/m (No. 12)
Inequivalent atoms, fractional coordinates:
V (0.0000, 0.0000, 0.0000)  6 O 1.94-1.99
Au (0.0000, 0.5000, 0.5000)  6 Au 2.90-2.92
O (0.1853, 0.5000, 0.1098)  3 V 1.94-1.99

Results
The spin magnetization is 0.261 μB/atom. The value obtained for the uncorrected energy is -51.3 eV for the cell shown.